{"formula": "Ta3CoPt", "functional": "PBEsol", "state": "optimized geometry", "cell": [[4.465, 0.000, 0.000], [0.000, 4.465, 0.000], [0.000, 0.000, 4.465]], "species": ["Pt", "Co", "Ta", "Ta", "Ta"], "fractional_positions": [[0.500, 0.500, 0.500], [0.000, 0.000, 0.000], [0.000, 0.500, 0.000], [0.000, 0.000, 0.500], [0.500, 0.000, 0.000]], "delta_e_f_ev_per_atom": 0.585}



{"formula": "CoTcPt", "functional": "PBEsol", "state": "optimized geometry", "cell": [[3.115, 0.000, 0.000], [0.000, 3.115, 0.000], [-1.557, -1.557, 4.074]], "species": ["Co", "Pt", "Tc"], "fractional_positions": [[0.990, 0.990, 0.979], [0.662, 0.662, 0.324], [0.348, 0.348, 0.696]], "delta_e_f_ev_per_atom": 0.086}



{"formula": "CoTePt2", "functional": "PBEsol", "state": "optimized geometry", "cell": [[-2.748, 0.726, -1.924], [2.423, -0.217, -3.544], [-0.033, -4.504, 1.410]], "species": ["Pt", "Pt", "Co", "Te"], "fractional_positions": [[0.245, 0.236, 0.490], [0.755, 0.764, 0.510], [0.500, 0.000, 0.000], [0.000, 0.500, 0.000]], "formation_energy_uncorrected_mev_per_atom": 144}



{"formula": "CoTePt2", "functional": "PBEsol", "state": "optimized geometry", "cell": [[-0.331, -2.371, -2.370], [2.581, 1.340, -1.701], [3.546, -3.286, 2.792]], "species": ["Co", "Te", "Pt", "Pt"], "fractional_positions": [[0.500, 0.500, 0.773], [0.000, 0.000, 0.509], [0.000, 0.000, 0.980], [0.500, 0.500, 0.238]], "formation_energy_uncorrected_mev_per_atom": 174}